#P
DFT (PBE) results for a relaxed structure of GeBAs3.

a b c (Å): 4.458 4.458 4.458
angles (deg): 90.00 90.00 90.00
Sites, in units of the cell vectors:
As  0.000  0.500  0.000
As  0.000  0.000  0.500
As  0.500  0.000  0.000
B  0.000  0.000  0.000
Ge  0.500  0.500  0.500

## Properties
total magnetic moment	0.000	μB/f.u.

---

#Q
DFT (PBE) results for a relaxed structure of GeBAs3.

a b c (Å): 4.926 4.926 4.926
angles (deg): 90.00 90.00 90.00
Sites, in units of the cell vectors:
As  0.000  0.500  0.000
As  0.000  0.000  0.500
As  0.500  0.000  0.000
B  0.500  0.500  0.500
Ge  0.000  0.000  0.000

## Properties
total magnetic moment	0.000	μB/f.u.

---

Tell me which of them is the most stable. Sure, it is #P.

---

#P
DFT (PBE) results for a relaxed structure of GeBAsSe2.

a b c (Å): 5.015 5.015 4.919
angles (deg): 90.00 90.00 90.00
Sites, in units of the cell vectors:
As  0.000  0.000  0.500
B  0.500  0.500  0.500
Ge  0.000  0.000  0.000
Se  0.000  0.500  0.000
Se  0.500  0.000  0.000

## Properties
total magnetic moment	0.000	μB/f.u.

---

#Q
DFT (PBE) results for a relaxed structure of GeBAsSe2.

a b c (Å): 4.764 4.764 4.119
angles (deg): 90.00 90.00 90.00
Sites, in units of the cell vectors:
As  0.000  0.000  0.500
B  0.000  0.000  0.000
Ge  0.500  0.500  0.500
Se  0.000  0.500  0.000
Se  0.500  0.000  0.000

## Properties
total magnetic moment	0.000	μB/f.u.

---

Tell me which of them is the most stable. Sure, it is #Q.

---

#P
DFT (PBE) results for a relaxed structure of GeBAs2Se.

a b c (Å): 4.932 4.932 5.006
angles (deg): 90.00 90.00 90.00
Sites, in units of the cell vectors:
As  0.000  0.500  0.000
As  0.500  0.000  0.000
B  0.500  0.500  0.500
Ge  0.000  0.000  0.000
Se  0.000  0.000  0.500

## Properties
total magnetic moment	0.000	μB/f.u.

---

#Q
DFT (PBE) results for a relaxed structure of GeBAs2Se.

a b c (Å): 4.453 4.453 4.521
angles (deg): 90.00 90.00 90.00
Sites, in units of the cell vectors:
As  0.000  0.500  0.000
As  0.500  0.000  0.000
B  0.000  0.000  0.000
Ge  0.500  0.500  0.500
Se  0.000  0.000  0.500

## Properties
total magnetic moment	0.000	μB/f.u.

---

Tell me which of them is the most stable. Sure, it is #Q.

---

#P
DFT (PBE) results for a relaxed structure of BAs2H.

a b c (Å): 4.046 4.046 4.046
angles (deg): 60.00 60.00 60.00
Sites, in units of the cell vectors:
H  0.000  0.000  0.000
As  0.250  0.250  0.250
As  0.750  0.750  0.750
B  0.500  0.500  0.500

## Properties
total magnetic moment	0.000	μB/f.u.

---

#Q
DFT (PBE) results for a relaxed structure of BAs2H.

a b c (Å): 4.891 4.891 5.763
angles (deg): 64.89 64.89 90.00
Sites, in units of the cell vectors:
H  0.500  0.500  0.000
H  0.250  0.750  0.500
As  0.622  0.125  0.250
As  0.128  0.625  0.250
As  0.375  0.378  0.750
As  0.875  0.872  0.750
B  0.000  0.000  0.000
B  0.750  0.250  0.500

## Properties
total magnetic moment	0.000	μB/f.u.

---

Tell me which of them is the most stable. Sure, it is #Q.

---

#P
DFT (PBE) results for a relaxed structure of B3AsH.

a b c (Å): 4.123 4.123 4.123
angles (deg): 90.00 90.00 90.00
Sites, in units of the cell vectors:
H  0.500  0.500  0.500
As  0.000  0.000  0.000
B  0.000  0.500  0.000
B  0.000  0.000  0.500
B  0.500  0.000  0.000

## Properties
total magnetic moment	0.000	μB/f.u.

---

#Q
DFT (PBE) results for a relaxed structure of B3AsH.

a b c (Å): 3.493 3.493 3.493
angles (deg): 90.00 90.00 90.00
Sites, in units of the cell vectors:
H  0.000  0.000  0.000
As  0.500  0.500  0.500
B  0.000  0.500  0.000
B  0.000  0.000  0.500
B  0.500  0.000  0.000

## Properties
total magnetic moment	0.000	μB/f.u.

---

Tell me which of them is the most stable. Sure, it is #Q.

---

#P
DFT (PBE) results for a relaxed structure of B2AsH.

a b c (Å): 3.734 3.734 3.734
angles (deg): 60.00 60.00 60.00
Sites, in units of the cell vectors:
H  0.000  0.000  0.000
As  0.500  0.500  0.500
B  0.250  0.250  0.250
B  0.750  0.750  0.750

## Properties
total magnetic moment	0.000	μB/f.u.

---

#Q
DFT (PBE) results for a relaxed structure of B2AsH.

a b c (Å): 3.468 3.468 6.175
angles (deg): 73.69 73.69 90.00
Sites, in units of the cell vectors:
H  0.500  0.500  0.000
H  0.250  0.750  0.500
As  0.000  0.000  0.000
As  0.750  0.250  0.500
B  0.501  0.125  0.250
B  0.249  0.625  0.250
B  0.375  0.499  0.750
B  0.875  0.751  0.750

## Properties
total magnetic moment	0.000	μB/f.u.

---

Tell me which of them is the most stable. Sure, it is #Q.